Material: FeAsO
Method: DFT, PBE with a Hubbard U
State: relaxed

Calculated values
SG: P2_1/c, No. 14
M_tot: 3.73 μB per formula unit
E: -5.61 eV per atom
Theoretical density: 5342 kg/m3

Structure (POSCAR):
```
FeAsO
1.0
5.8077 0.0000 0.0000
0.0000 5.7557 0.0000
-0.4620 0.0000 5.4589
Fe As O
4 4 4
Cartesian
1.0647 0.2816 1.0911 Fe
0.8338 2.5963 3.8205 Fe
4.5120 3.1594 1.6384 Fe
4.2810 5.4741 4.3678 Fe
1.9288 3.4219 0.8305 As
1.6979 5.2117 3.5600 As
3.6479 0.5441 1.8989 As
3.4169 2.3338 4.6284 As
0.4449 0.5874 4.5073 O
0.6759 2.2904 1.7779 O
4.6699 3.4653 3.6810 O
4.9008 5.1683 0.9516 O
```